Version P
BaSbAs3 | GGA-PBE | optimized geometry

Cell: 5.371 5.371 5.371 Å, 90.00 90.00 90.00°
Element x y z (fractional)
Ba (0.000, 0.000, 0.000)
Sb (0.500, 0.500, 0.500)
As (0.000, 0.500, 0.500)
As (0.500, 0.000, 0.500)
As (0.500, 0.500, 0.000)

Properties
* M_tot: 0.000 μB per atom
* DOS(E_F): 1.059 states/eV per atom

=====

Version Q
BaSbAs3 | GGA-PBE | optimized geometry

Cell: 5.692 5.692 5.692 Å, 90.00 90.00 90.00°
Element x y z (fractional)
Ba (0.000, 0.000, 0.000)
Sb (0.500, 0.500, 0.500)
As (0.000, 0.000, 0.500)
As (0.000, 0.500, 0.000)
As (0.500, 0.000, 0.000)

Properties
* M_tot: 0.000 μB per atom
* DOS(E_F): 0.863 states/eV per atom

=====

Of them, version P has the highest stability.

=====

Version P
BaSbAs2Se | GGA-PBE | optimized geometry

Cell: 5.326 5.326 5.550 Å, 90.00 90.00 90.00°
Element x y z (fractional)
Ba (0.000, 0.000, 0.000)
Sb (0.500, 0.500, 0.500)
As (0.000, 0.500, 0.500)
As (0.500, 0.000, 0.500)
Se (0.500, 0.500, 0.000)

Properties
* M_tot: 0.000 μB per atom
* DOS(E_F): 1.051 states/eV per atom

=====

Version Q
BaSbAs2Se | GGA-PBE | optimized geometry

Cell: 5.842 5.842 5.881 Å, 90.00 90.00 90.00°
Element x y z (fractional)
Ba (0.000, 0.000, 0.000)
Sb (0.500, 0.500, 0.500)
As (0.000, 0.500, 0.000)
As (0.500, 0.000, 0.000)
Se (0.000, 0.000, 0.500)

Properties
* M_tot: 0.060 μB per atom
* DOS(E_F): 1.332 states/eV per atom

=====

Of them, version P has the highest stability.

=====

Version P
Ba2ScAs2 | GGA-PBE | optimized geometry

Cell: 8.369 8.369 8.369 Å, 128.14 72.90 132.58°
Element x y z (fractional)
Ba (0.147, 0.167, 0.314)
Ba (0.353, 0.667, 0.020)
Ba (0.647, 0.333, 0.980)
Ba (0.853, 0.833, 0.686)
Sc (0.250, 0.750, 0.500)
Sc (0.750, 0.250, 0.500)
As (0.106, 0.711, 0.818)
As (0.394, 0.211, 0.605)
As (0.606, 0.789, 0.395)
As (0.894, 0.289, 0.182)

Properties
* M_tot: 0.000 μB per atom
* DOS(E_F): 0.777 states/eV per atom

=====

Version Q
Ba2ScAs2 | GGA-PBE | optimized geometry

Cell: 8.083 8.083 4.749 Å, 90.00 90.00 90.00°
Element x y z (fractional)
Ba (0.144, 0.356, 0.000)
Ba (0.356, 0.856, 0.000)
Ba (0.644, 0.144, 0.000)
Ba (0.856, 0.644, 0.000)
Sc (0.000, 0.000, 0.500)
Sc (0.500, 0.500, 0.500)
As (0.172, 0.672, 0.500)
As (0.328, 0.172, 0.500)
As (0.672, 0.828, 0.500)
As (0.828, 0.328, 0.500)

Properties
* M_tot: 0.191 μB per atom
* DOS(E_F): 0.131 states/eV per atom

=====

Of them, version P has the highest stability.

=====

Version P
BaSc2As2 | GGA-PBE | optimized geometry

Cell: 8.185 8.185 3.633 Å, 90.00 90.00 90.00°
Element x y z (fractional)
Ba (0.000, 0.000, 0.000)
Ba (0.500, 0.500, 0.000)
Sc (0.137, 0.363, 0.500)
Sc (0.363, 0.863, 0.500)
Sc (0.637, 0.137, 0.500)
Sc (0.863, 0.637, 0.500)
As (0.142, 0.642, 0.000)
As (0.358, 0.142, 0.000)
As (0.642, 0.858, 0.000)
As (0.858, 0.358, 0.000)

Properties
* M_tot: 0.185 μB per atom
* DOS(E_F): 0.736 states/eV per atom

=====

Version Q
BaSc2As2 | GGA-PBE | optimized geometry

Cell: 7.545 7.545 7.545 Å, 145.66 145.66 49.35°
Element x y z (fractional)
Ba (0.000, 0.000, 0.000)
Sc (0.250, 0.750, 0.500)
Sc (0.750, 0.250, 0.500)
As (0.366, 0.366, 0.000)
As (0.634, 0.634, 0.000)

Properties
* M_tot: 0.231 μB per atom
* DOS(E_F): 0.816 states/eV per atom

=====

Of them, version Q has the highest stability.

=====

Version P
BaSc3As | GGA-PBE | optimized geometry

Cell: 5.315 5.315 5.315 Å, 90.00 90.00 90.00°
Element x y z (fractional)
Ba (0.000, 0.000, 0.000)
Sc (0.000, 0.500, 0.500)
Sc (0.500, 0.000, 0.500)
Sc (0.500, 0.500, 0.000)
As (0.500, 0.500, 0.500)

Properties
* M_tot: 0.502 μB per atom
* DOS(E_F): 1.298 states/eV per atom

=====

Version Q
BaSc3As | GGA-PBE | optimized geometry

Cell: 5.252 5.252 5.252 Å, 90.00 90.00 90.00°
Element x y z (fractional)
Ba (0.000, 0.000, 0.000)
Sc (0.000, 0.000, 0.500)
Sc (0.000, 0.500, 0.000)
Sc (0.500, 0.000, 0.000)
As (0.500, 0.500, 0.500)

Properties
* M_tot: 0.000 μB per atom
* DOS(E_F): 0.735 states/eV per atom

=====

Of them, version P has the highest stability.

=====

Version P
BaScAsSe2 | GGA-PBE | optimized geometry

Cell: 5.272 5.272 5.165 Å, 90.00 90.00 90.00°
Element x y z (fractional)
Ba (0.000, 0.000, 0.000)
Sc (0.500, 0.500, 0.500)
As (0.500, 0.500, 0.000)
Se (0.000, 0.500, 0.500)
Se (0.500, 0.000, 0.500)

Properties
* M_tot: 0.000 μB per atom
* DOS(E_F): 0.945 states/eV per atom

=====

Version Q
BaScAsSe2 | GGA-PBE | optimized geometry

Cell: 5.785 5.785 5.611 Å, 90.00 90.00 90.00°
Element x y z (fractional)
Ba (0.000, 0.000, 0.000)
Sc (0.500, 0.500, 0.500)
As (0.000, 0.000, 0.500)
Se (0.000, 0.500, 0.000)
Se (0.500, 0.000, 0.000)

Properties
* M_tot: 0.000 μB per atom
* DOS(E_F): 0.741 states/eV per atom

=====

Of them, version P has the highest stability.